Here is a geometry-optimized LiMg2MnBi structure from Alexandria. Energies are from PBE.

The space group is P4/mmm (No. 123) and the conventional cell measures 5.120, 5.120 and 4.905 Å, with angles of 90.00, 90.00 and 90.00 degrees. Symmetry generates all atoms from Li at (0.000, 0.000, 0.000), Mg at (0.000, 0.500, 0.500), Mn at (0.000, 0.000, 0.500) and Bi at (0.500, 0.500, 0.000).

The value obtained for the formation enthalpy at 0 K is 0.52 eV/atom. For the density, the calculation gives 4.13 g/cm³.

***

Here is a geometry-optimized MoOsBr structure from Alexandria. Energies are from PBE.

The space group is F-43m (No. 216) and the conventional cell measures 6.105, 6.105 and 6.105 Å, with angles of 90.00, 90.00 and 90.00 degrees. Symmetry generates all atoms from Mo at (0.000, 0.000, 0.000), Os at (0.250, 0.250, 0.750) and Br at (0.250, 0.250, 0.250).

The uncorrected formation energy comes out at 1.09 eV/atom. The relative energy among the computed polymorphs comes out at 527 meV/atom. For the density, the calculation gives 10.69 g/cm³.

***

Here is a geometry-optimized Tm2PaRhN4 structure from Alexandria. Energies are from PBE.

The space group is Cmcm (No. 63) and the conventional cell measures 3.354, 11.408 and 11.444 Å, with angles of 90.00, 90.00 and 90.00 degrees. Symmetry generates all atoms from Tm at (0.000, 0.127, 0.052), Pa at (0.000, 0.383, 0.250), Rh at (0.000, 0.357, 0.750), N at (0.000, 0.029, 0.250), N at (0.000, 0.215, 0.629) and N at (0.000, 0.500, 0.000).

The uncorrected formation energy comes out at -1.20 eV/atom. For the density, the calculation gives 11.04 g/cm³.

***

For the records above, the corresponding total magnetic moment values read 3.64; 0.00; 0.00 μB per cell.